No. 1
The following is a DFT calculation (GGA-PBE) of Cs2AgHgBr5 after structural relaxation.

Summary:
As for the uncorrected formation energy: -891 kJ/mol of formula units.

Lattice parameters (Å, degrees): 4.640 10.800 14.608 90.00 90.00 102.41
Fractional coordinates of all 18 atoms:
Br 0.339 0.677 0.009
Br 0.917 0.834 0.529
Br 0.289 0.579 0.652
Br 0.501 0.001 0.282
Br 0.699 0.399 0.881
Br 0.661 0.323 0.509
Br 0.499 0.999 0.782
Br 0.083 0.166 0.029
Br 0.301 0.601 0.381
Br 0.711 0.421 0.152
Ag 0.569 0.139 0.930
Ag 0.431 0.861 0.430
Cs 0.878 0.756 0.206
Cs 0.131 0.261 0.310
Cs 0.869 0.739 0.810
Cs 0.122 0.244 0.706
Hg 0.213 0.426 0.023
Hg 0.787 0.574 0.523

No. 2
The following is a DFT calculation (GGA-PBE) of NbNi3Se6 after structural relaxation.

Summary:
As for the uncorrected formation energy: -287 kJ/mol of formula units.

Lattice parameters (Å, degrees): 3.613 10.459 10.052 107.08 90.00 90.00
Fractional coordinates of all 20 atoms:
Se 0.250 0.066 0.908
Se 0.750 0.934 0.092
Se 0.250 0.263 0.711
Se 0.250 0.899 0.547
Se 0.750 0.101 0.453
Se 0.750 0.737 0.289
Se 0.250 0.527 0.386
Se 0.250 0.190 0.248
Se 0.750 0.403 0.069
Se 0.250 0.597 0.931
Se 0.750 0.473 0.614
Se 0.750 0.810 0.752
Ni 0.750 0.176 0.080
Ni 0.750 0.651 0.510
Ni 0.250 0.824 0.920
Ni 0.250 0.556 0.154
Ni 0.250 0.349 0.490
Ni 0.750 0.444 0.846
Nb 0.750 0.065 0.709
Nb 0.250 0.935 0.291

No. 3
The following is a DFT calculation (GGA-PBE) of Hf2CrCdTc after structural relaxation.

Summary:
For the formation energy, the calculation gives 5.33 eV per formula unit.

Lattice parameters (Å, degrees): 4.636 4.952 4.636 90.00 90.00 90.00
Site moments in Bohr magnetons follow the coordinates.
Fractional coordinates of all 5 atoms:
Hf 0.000 0.000 0.500  -0.14
Hf 0.500 0.000 0.000  -0.15
Tc 0.500 0.500 0.500  2.20
Cr 0.000 0.000 0.000  0.48
Cd 0.000 0.500 0.000  0.01